Record 1
DFT (PBE) results for a relaxed structure of HfTlCo2Bi.

Unit cell a=4.688 b=5.557 c=4.688 alpha=90.00 beta=90.00 gamma=90.00
Atoms (fractional coordinates):
Co: 0.000 0.000 0.500
Co: 0.500 0.000 0.000
Tl: 0.000 0.500 0.000
Hf: 0.000 0.000 0.000
Bi: 0.500 0.500 0.500

The calculation puts the total energy at -4.9907 eV/atom.

=====

Record 2
DFT (PBE) results for a relaxed structure of HfCoBiW2.

Unit cell a=4.963 b=4.506 c=4.963 alpha=90.00 beta=90.00 gamma=90.00
Atoms (fractional coordinates):
Co: 0.000 0.500 0.000
Hf: 0.000 0.000 0.000
Bi: 0.500 0.500 0.500
W: 0.000 0.000 0.500
W: 0.500 0.000 0.000

The value obtained for the energy relative to the lowest polymorph listed for this composition is 874 meV per atom.

=====

Record 3
DFT (PBE) results for a relaxed structure of HfCoBiW2.

Unit cell a=4.589 b=4.737 c=4.589 alpha=90.00 beta=90.00 gamma=90.00
Atoms (fractional coordinates):
Co: 0.000 0.000 0.000
Hf: 0.500 0.500 0.500
Bi: 0.000 0.500 0.000
W: 0.000 0.000 0.500
W: 0.500 0.000 0.000

The value obtained for the energy relative to the lowest polymorph listed for this composition is 0 meV per atom.

=====

Record 4
DFT (PBE) results for a relaxed structure of HfCo2BiW.

Unit cell a=4.496 b=5.407 c=4.496 alpha=90.00 beta=90.00 gamma=90.00
Atoms (fractional coordinates):
Co: 0.000 0.000 0.500
Co: 0.500 0.000 0.000
Hf: 0.000 0.000 0.000
Bi: 0.000 0.500 0.000
W: 0.500 0.500 0.500

The calculation puts the total energy at -6.3013 eV/atom.

=====

Record 5
DFT (PBE) results for a relaxed structure of Hf2ZnCoBi.

Unit cell a=4.800 b=4.800 c=4.826 alpha=90.00 beta=90.00 gamma=90.00
Atoms (fractional coordinates):
Co: 0.000 0.000 0.000
Zn: 0.500 0.500 0.500
Hf: 0.000 0.500 0.000
Hf: 0.500 0.000 0.000
Bi: 0.000 0.000 0.500

The calculation puts the total energy at -6.1149 eV/atom.

=====

Record 6
DFT (PBE) results for a relaxed structure of HfZrCoBi2.

Unit cell a=5.536 b=4.465 c=5.536 alpha=90.00 beta=90.00 gamma=90.00
Atoms (fractional coordinates):
Co: 0.000 0.500 0.000
Hf: 0.000 0.000 0.000
Bi: 0.000 0.000 0.500
Bi: 0.500 0.000 0.000
Zr: 0.500 0.500 0.500

The calculation puts the total energy at -5.8213 eV/atom.